Na2AlCrSe4: optimized geometry, PBE.

calculated volume = 20.92 A^3/atom
E_form (uncorrected) = -868 meV/atom
space group = Imma, No. 74

Cell lengths 7.792, 7.792, 7.856 Å; angles 120.26, 120.26, 89.98 degrees
Last column: magnetic moment on the atom in μB.
Sites, in units of the cell vectors:
Al 0.000 0.000 0.000  0.03
Se 0.236 0.264 0.026  -0.03
Al 0.500 0.500 0.500  0.03
Na 0.500 0.000 0.500  0.00
Se 0.207 0.735 0.971  -0.09
Se 0.793 0.265 0.029  -0.09
Se 0.764 0.736 0.526  -0.03
Cr 0.000 0.500 0.000  3.00
Se 0.235 0.707 0.471  -0.09
Se 0.764 0.736 0.974  -0.03
Se 0.765 0.293 0.529  -0.09
Cr 0.000 0.500 0.500  3.00
Na 0.500 0.000 0.000  0.00
Na 0.000 0.000 0.500  0.00
Na 0.500 0.500 0.000  0.00
Se 0.236 0.264 0.474  -0.03